Mn4CuPd5 | PBE | relaxed

```
data_Mn4CuPd5
_space_group_name_H-M_alt 'P 4/m m m'
_space_group_IT_number 123
_space_group_name_Hall '-P 4 2'
_cell_length_a 3.184
_cell_length_b 3.184
_cell_length_c 14.725
_cell_angle_alpha 90.00
_cell_angle_beta 90.00
_cell_angle_gamma 90.00
loop_
_atom_site_label
_atom_site_type_symbol
_atom_site_fract_x
_atom_site_fract_y
_atom_site_fract_z
_atom_site_occupancy
Mn1 Mn 0.000 0.000 0.103 1
Mn2 Mn 0.000 0.000 0.308 1
Cu1 Cu 0.000 0.000 0.500 1
Pd1 Pd 0.500 0.500 0.000 1
Pd2 Pd 0.500 0.500 0.204 1
Pd3 Pd 0.500 0.500 0.404 1
```

Properties
The formation energy from the elements comes out at -0.20 eV per atom.